1.
# PrY2ErSc | Alexandria via LeMat-Bulk | PBE | optimized geometry
data_PrY2ErSc
_chemical_formula_sum 'Pr2 Y4 Er2 Sc2'
_cell_length_a 7.146
_cell_length_b 8.226
_cell_length_c 6.975
_cell_angle_alpha 126.13
_cell_angle_beta 90.00
_cell_angle_gamma 90.00
_symmetry_space_group_name_H-M 'P 1'
_symmetry_Int_Tables_number 1
loop_
_symmetry_equiv_pos_as_xyz
'x,y,z'
loop_
_atom_site_label
_atom_site_fract_x
_atom_site_fract_y
_atom_site_fract_z
Pr1 0.250 0.732 0.464
Pr2 0.750 0.268 0.536
Y1 0.500 0.302 0.000
Y2 0.000 0.698 0.000
Y3 0.500 0.698 0.000
Y4 0.000 0.302 0.000
Er1 0.750 0.734 0.467
Er2 0.250 0.266 0.533
Sc1 0.250 0.995 0.990
Sc2 0.750 0.005 0.010
# SG: Cmcm, No. 63
# Size of the total moment, μB per atom: 0.000
# Formation energy, meV per atom: 331
# E_tot, eV/cell: -53.90

=====

2.
# Ho2ErInC | Alexandria via LeMat-Bulk | PBE | optimized geometry
data_Ho2ErInC
_chemical_formula_sum 'Ho2 Er1 In1 C1'
_cell_length_a 4.869
_cell_length_b 4.895
_cell_length_c 4.895
_cell_angle_alpha 90.00
_cell_angle_beta 90.00
_cell_angle_gamma 90.00
_symmetry_space_group_name_H-M 'P 1'
_symmetry_Int_Tables_number 1
loop_
_symmetry_equiv_pos_as_xyz
'x,y,z'
loop_
_atom_site_label
_atom_site_fract_x
_atom_site_fract_y
_atom_site_fract_z
Ho1 0.000 0.000 0.500
Ho2 0.000 0.500 0.000
Er1 0.500 0.000 0.000
In1 0.500 0.500 0.500
C1 0.000 0.000 0.000
# SG: P4/mmm, No. 123
# Size of the total moment, μB per atom: 0.000
# Formation energy, meV per atom: -528
# E_tot, eV/cell: -28.32

=====

3.
# PmAl3NiRh | Alexandria via LeMat-Bulk | PBE | optimized geometry
data_PmAl3NiRh
_chemical_formula_sum 'Pm2 Al6 Ni2 Rh2'
_cell_length_a 5.762
_cell_length_b 6.271
_cell_length_c 6.744
_cell_angle_alpha 117.71
_cell_angle_beta 90.00
_cell_angle_gamma 90.00
_symmetry_space_group_name_H-M 'P 1'
_symmetry_Int_Tables_number 1
loop_
_symmetry_equiv_pos_as_xyz
'x,y,z'
loop_
_atom_site_label
_atom_site_fract_x
_atom_site_fract_y
_atom_site_fract_z
Pm1 0.750 0.274 0.548
Pm2 0.250 0.726 0.452
Al1 0.250 0.149 0.298
Al2 0.000 0.287 0.000
Al3 0.500 0.713 0.000
Al4 0.500 0.287 0.000
Al5 0.000 0.713 0.000
Al6 0.750 0.851 0.702
Ni1 0.250 0.946 0.893
Ni2 0.750 0.054 0.107
Rh1 0.250 0.362 0.724
Rh2 0.750 0.638 0.276
# SG: Cmcm, No. 63
# Size of the total moment, μB per atom: 0.000
# Formation energy, meV per atom: -529
# E_tot, eV/cell: -64.57

=====

4.
# Ho2PdF | Alexandria via LeMat-Bulk | PBE | optimized geometry
data_Ho2PdF
_chemical_formula_sum 'Ho2 Pd1 F1'
_cell_length_a 4.009
_cell_length_b 4.009
_cell_length_c 6.349
_cell_angle_alpha 71.60
_cell_angle_beta 71.60
_cell_angle_gamma 60.00
_symmetry_space_group_name_H-M 'P 1'
_symmetry_Int_Tables_number 1
loop_
_symmetry_equiv_pos_as_xyz
'x,y,z'
loop_
_atom_site_label
_atom_site_fract_x
_atom_site_fract_y
_atom_site_fract_z
Ho1 0.745 0.745 0.766
Ho2 0.255 0.255 0.234
Pd1 0.500 0.500 0.500
F1 0.000 0.000 0.000
# SG: R-3m, No. 166
# Size of the total moment, μB per atom: 0.000
# E_form (uncorrected), kJ/mol of formula units: -599
# E_tot, eV/cell: -22.43